A plane-wave DFT calculation with PBE was carried out for a relaxed structure of Ac5La6Pm2.

Output
VASP energy = -117.1 eV/cell
volume = 40.1 Å³/atom
energy of formation = 0.081 eV/atom
size of the total moment = 0.00 Bohr magnetons per cell

a = 12.183 Å, b = 22.357 Å, c = 3.831 Å
α = 90.00°, β = 90.00°, γ = 90.00°
Atoms (fractional coordinates):
Ac1 0.000 0.000 0.000
Ac2 0.052 0.291 0.000
Ac3 0.193 0.578 0.000
Ac4 0.307 0.078 0.000
Ac5 0.448 0.791 0.000
Ac6 0.500 0.500 0.000
Ac7 0.552 0.209 0.000
Ac8 0.693 0.922 0.000
Ac9 0.807 0.422 0.000
Ac10 0.948 0.709 0.000
La1 0.056 0.145 0.500
La2 0.083 0.438 0.500
La3 0.189 0.872 0.000
La4 0.311 0.372 0.000
La5 0.417 0.938 0.500
La6 0.444 0.645 0.500
La7 0.556 0.355 0.500
La8 0.583 0.062 0.500
La9 0.689 0.628 0.000
La10 0.811 0.128 0.000
La11 0.917 0.562 0.500
La12 0.944 0.855 0.500
Pm1 0.207 0.733 0.500
Pm2 0.293 0.233 0.500
Pm3 0.707 0.767 0.500
Pm4 0.793 0.267 0.500

A plane-wave DFT calculation with PBE was carried out for a relaxed structure of Ac2LaPm.

Output
VASP energy = -51.6 eV/cell
volume = 41.1 Å³/atom
energy of formation = 0.172 eV/atom
size of the total moment = 0.00 Bohr magnetons per cell
E above lowest polymorph = 151.0 meV per atom

a = 3.773 Å, b = 3.773 Å, c = 40.030 Å
α = 90.00°, β = 90.00°, γ = 120.00°
Atoms (fractional coordinates):
Ac1 0.000 0.000 0.090
Ac2 0.000 0.000 0.910
Ac3 0.333 0.667 0.577
Ac4 0.333 0.667 0.756
Ac5 0.667 0.333 0.244
Ac6 0.667 0.333 0.423
La1 0.000 0.000 0.000
La2 0.333 0.667 0.667
La3 0.667 0.333 0.333
Pm1 0.000 0.000 0.500
Pm2 0.333 0.667 0.167
Pm3 0.667 0.333 0.833

A plane-wave DFT calculation with PBE was carried out for a relaxed structure of AcLa2Pm.

Output
VASP energy = -72.6 eV/cell
volume = 38.9 Å³/atom
energy of formation = 0.142 eV/atom
size of the total moment = 7.75 Bohr magnetons per cell
E above lowest polymorph = 128.6 meV per atom

a = 8.534 Å, b = 8.534 Å, c = 8.534 Å
α = 90.00°, β = 90.00°, γ = 90.00°
Atoms (fractional coordinates):
Ac1 0.000 0.000 0.000
Ac2 0.000 0.500 0.500
Ac3 0.500 0.000 0.500
Ac4 0.500 0.500 0.000
La1 0.250 0.250 0.250
La2 0.250 0.250 0.750
La3 0.250 0.750 0.250
La4 0.250 0.750 0.750
La5 0.750 0.250 0.250
La6 0.750 0.250 0.750
La7 0.750 0.750 0.250
La8 0.750 0.750 0.750
Pm1 0.000 0.000 0.500
Pm2 0.000 0.500 0.000
Pm3 0.500 0.000 0.000
Pm4 0.500 0.500 0.500

A plane-wave DFT calculation with PBE was carried out for a relaxed structure of AcLaPm.

Output
VASP energy = -38.1 eV/cell
volume = 39.4 Å³/atom
energy of formation = 0.363 eV/atom
size of the total moment = 0.02 Bohr magnetons per cell
E above lowest polymorph = 331.8 meV per atom

a = 6.228 Å, b = 6.228 Å, c = 10.553 Å
α = 90.00°, β = 90.00°, γ = 120.00°
Atoms (fractional coordinates):
Ac1 0.000 0.000 0.000
Ac2 0.333 0.667 0.667
Ac3 0.667 0.333 0.333
La1 0.000 0.000 0.339
La2 0.333 0.667 0.006
La3 0.667 0.333 0.673
Pm1 0.000 0.000 0.664
Pm2 0.333 0.667 0.331
Pm3 0.667 0.333 0.998

A plane-wave DFT calculation with PBE was carried out for a relaxed structure of AcLa2Pm6.

Output
VASP energy = -71.0 eV/cell
volume = 40.6 Å³/atom
energy of formation = 0.772 eV/atom
size of the total moment = 0.00 Bohr magnetons per cell
E above lowest polymorph = 681.2 meV per atom

a = 6.348 Å, b = 6.348 Å, c = 18.154 Å
α = 90.00°, β = 90.00°, γ = 90.00°
Atoms (fractional coordinates):
Ac1 0.000 0.000 0.000
Ac2 0.500 0.500 0.500
La1 0.000 0.000 0.352
La2 0.000 0.000 0.648
La3 0.500 0.500 0.148
La4 0.500 0.500 0.852
Pm1 0.168 0.168 0.500
Pm2 0.178 0.178 0.183
Pm3 0.178 0.178 0.817
Pm4 0.322 0.678 0.317
Pm5 0.322 0.678 0.683
Pm6 0.332 0.668 0.000
Pm7 0.668 0.332 0.000
Pm8 0.678 0.322 0.317
Pm9 0.678 0.322 0.683
Pm10 0.822 0.822 0.183
Pm11 0.822 0.822 0.817
Pm12 0.832 0.832 0.500

A plane-wave DFT calculation with PBE was carried out for a relaxed structure of AcLa5Pm3.

Output
VASP energy = -81.5 eV/cell
volume = 37.5 Å³/atom
energy of formation = 0.250 eV/atom
size of the total moment = 0.00 Bohr magnetons per cell
E above lowest polymorph = 92.6 meV per atom

a = 10.268 Å, b = 10.268 Å, c = 10.268 Å
α = 126.55°, β = 126.55°, γ = 78.99°
Atoms (fractional coordinates):
Ac1 0.250 0.750 0.500
Ac2 0.750 0.250 0.500
La1 0.000 0.000 0.000
La2 0.076 0.576 0.915
La3 0.160 0.076 0.500
La4 0.340 0.840 0.915
La5 0.424 0.340 0.500
La6 0.500 0.500 0.000
La7 0.576 0.660 0.500
La8 0.660 0.160 0.085
La9 0.840 0.924 0.500
La10 0.924 0.424 0.085
Pm1 0.114 0.386 0.500
Pm2 0.250 0.250 0.000
Pm3 0.386 0.886 0.272
Pm4 0.614 0.114 0.728
Pm5 0.750 0.750 0.000
Pm6 0.886 0.614 0.500

A plane-wave DFT calculation with PBE was carried out for a relaxed structure of AcLaPm.

Output
VASP energy = -27.4 eV/cell
volume = 38.7 Å³/atom
energy of formation = 0.032 eV/atom
size of the total moment = 0.00 Bohr magnetons per cell
E above lowest polymorph = 1.0 meV per atom

a = 3.817 Å, b = 5.351 Å, c = 11.375 Å
α = 90.00°, β = 90.00°, γ = 90.00°
Atoms (fractional coordinates):
Ac1 0.000 0.000 0.000
Ac2 0.500 0.500 0.500
La1 0.000 0.000 0.669
La2 0.500 0.500 0.169
Pm1 0.000 0.000 0.332
Pm2 0.500 0.500 0.832

A plane-wave DFT calculation with PBE was carried out for a relaxed structure of Ac2LaPm6.

Output
VASP energy = -81.0 eV/cell
volume = 37.4 Å³/atom
energy of formation = 0.127 eV/atom
size of the total moment = 0.00 Bohr magnetons per cell
E above lowest polymorph = 0.0 meV per atom

a = 9.910 Å, b = 9.910 Å, c = 7.050 Å
α = 98.17°, β = 98.17°, γ = 95.22°
Atoms (fractional coordinates):
Ac1 0.114 0.179 0.375
Ac2 0.179 0.114 0.875
Ac3 0.821 0.886 0.125
Ac4 0.886 0.821 0.625
La1 0.383 0.617 0.750
La2 0.617 0.383 0.250
Pm1 0.040 0.455 0.744
Pm2 0.167 0.782 0.009
Pm3 0.218 0.833 0.491
Pm4 0.283 0.462 0.177
Pm5 0.455 0.040 0.244
Pm6 0.462 0.283 0.677
Pm7 0.538 0.717 0.323
Pm8 0.545 0.960 0.756
Pm9 0.717 0.538 0.823
Pm10 0.782 0.167 0.509
Pm11 0.833 0.218 0.991
Pm12 0.960 0.545 0.256

A plane-wave DFT calculation with PBE was carried out for a relaxed structure of Ac12LaPm6.

Output
VASP energy = -82.0 eV/cell
volume = 41.3 Å³/atom
energy of formation = 0.040 eV/atom
size of the total moment = 0.00 Bohr magnetons per cell

a = 10.258 Å, b = 10.258 Å, c = 10.258 Å
α = 110.86°, β = 110.86°, γ = 110.86°
Atoms (fractional coordinates):
Ac1 0.066 0.376 0.582
Ac2 0.102 0.737 0.157
Ac3 0.157 0.102 0.737
Ac4 0.263 0.843 0.898
Ac5 0.376 0.582 0.066
Ac6 0.418 0.934 0.624
Ac7 0.582 0.066 0.376
Ac8 0.624 0.418 0.934
Ac9 0.737 0.157 0.102
Ac10 0.843 0.898 0.263
Ac11 0.898 0.263 0.843
Ac12 0.934 0.624 0.418
La1 0.000 0.000 0.000
Pm1 0.218 0.470 0.320
Pm2 0.320 0.218 0.470
Pm3 0.470 0.320 0.218
Pm4 0.530 0.680 0.782
Pm5 0.680 0.782 0.530
Pm6 0.782 0.530 0.680

A plane-wave DFT calculation with PBE was carried out for a relaxed structure of AcLa7Pm4.

Output
VASP energy = -57.4 eV/cell
volume = 36.7 Å³/atom
energy of formation = 0.020 eV/atom
size of the total moment = 0.00 Bohr magnetons per cell
E above lowest polymorph = 0.0 meV per atom

a = 6.482 Å, b = 7.442 Å, c = 9.849 Å
α = 79.37°, β = 70.92°, γ = 89.91°
Atoms (fractional coordinates):
Ac1 0.000 0.000 0.000
La1 0.000 0.500 0.000
La2 0.001 0.337 0.663
La3 0.497 0.915 0.337
La4 0.500 0.254 0.999
La5 0.500 0.746 0.001
La6 0.503 0.085 0.663
La7 0.999 0.663 0.337
Pm1 0.002 0.168 0.335
Pm2 0.498 0.583 0.666
Pm3 0.502 0.417 0.334
Pm4 0.998 0.832 0.665

A plane-wave DFT calculation with PBE was carried out for a relaxed structure of Ac2La2Pm5.

Output
VASP energy = -39.7 eV/cell
volume = 39.0 Å³/atom
energy of formation = 0.241 eV/atom
size of the total moment = 0.00 Bohr magnetons per cell
E above lowest polymorph = 81.1 meV per atom

a = 11.520 Å, b = 11.520 Å, c = 8.451 Å
α = 96.71°, β = 96.71°, γ = 18.36°
Atoms (fractional coordinates):
Ac1 0.051 0.051 0.346
Ac2 0.949 0.949 0.654
La1 0.310 0.310 0.851
La2 0.690 0.690 0.149
Pm1 0.191 0.191 0.531
Pm2 0.398 0.398 0.249
Pm3 0.500 0.500 0.000
Pm4 0.602 0.602 0.751
Pm5 0.809 0.809 0.469

A plane-wave DFT calculation with PBE was carried out for a relaxed structure of Ac3La2Pm6.

Output
VASP energy = -48.8 eV/cell
volume = 38.7 Å³/atom
energy of formation = 0.168 eV/atom
size of the total moment = 0.00 Bohr magnetons per cell

a = 6.720 Å, b = 6.720 Å, c = 11.539 Å
α = 94.08°, β = 94.08°, γ = 124.26°
Atoms (fractional coordinates):
Ac1 0.000 0.000 0.000
Ac2 0.328 0.672 0.000
Ac3 0.672 0.328 0.000
La1 0.361 0.639 0.500
La2 0.639 0.361 0.500
Pm1 0.088 0.776 0.286
Pm2 0.224 0.912 0.714
Pm3 0.413 0.413 0.243
Pm4 0.587 0.587 0.757
Pm5 0.776 0.088 0.286
Pm6 0.912 0.224 0.714

A plane-wave DFT calculation with PBE was carried out for a relaxed structure of Ac2La4Pm7.

Output
VASP energy = -59.3 eV/cell
volume = 37.1 Å³/atom
energy of formation = 0.142 eV/atom
size of the total moment = 0.00 Bohr magnetons per cell

a = 6.405 Å, b = 6.405 Å, c = 13.580 Å
α = 90.00°, β = 90.00°, γ = 120.00°
Atoms (fractional coordinates):
Ac1 0.333 0.667 0.000
Ac2 0.667 0.333 0.000
La1 0.000 0.000 0.391
La2 0.000 0.000 0.609
La3 0.333 0.667 0.500
La4 0.667 0.333 0.500
Pm1 0.000 0.000 0.000
Pm2 0.000 0.366 0.221
Pm3 0.000 0.634 0.779
Pm4 0.366 0.000 0.221
Pm5 0.366 0.366 0.779
Pm6 0.634 0.000 0.779
Pm7 0.634 0.634 0.221

A plane-wave DFT calculation with PBE was carried out for a relaxed structure of AcLa2Pm8.

Output
VASP energy = -51.7 eV/cell
volume = 35.8 Å³/atom
energy of formation = 0.025 eV/atom
size of the total moment = 0.00 Bohr magnetons per cell
E above lowest polymorph = 0.0 meV per atom

a = 9.775 Å, b = 9.775 Å, c = 8.283 Å
α = 104.74°, β = 104.74°, γ = 31.10°
Atoms (fractional coordinates):
Ac1 0.000 0.000 0.000
La1 0.272 0.272 0.363
La2 0.728 0.728 0.637
Pm1 0.091 0.091 0.460
Pm2 0.183 0.183 0.906
Pm3 0.362 0.362 0.817
Pm4 0.455 0.455 0.276
Pm5 0.545 0.545 0.724
Pm6 0.638 0.638 0.183
Pm7 0.817 0.817 0.094
Pm8 0.909 0.909 0.540

A plane-wave DFT calculation with PBE was carried out for a relaxed structure of Ac4La8Pm.

Output
VASP energy = -58.4 eV/cell
volume = 40.0 Å³/atom
energy of formation = 0.169 eV/atom
size of the total moment = 0.00 Bohr magnetons per cell

a = 6.710 Å, b = 7.947 Å, c = 10.514 Å
α = 84.74°, β = 80.62°, γ = 70.21°
Atoms (fractional coordinates):
Ac1 0.000 0.000 0.000
Ac2 0.000 0.500 0.000
Ac3 0.500 0.001 0.499
Ac4 0.500 0.501 0.500
La1 0.008 0.837 0.665
La2 0.027 0.348 0.658
La3 0.440 0.742 0.212
La4 0.474 0.306 0.192
La5 0.526 0.696 0.807
La6 0.560 0.260 0.788
La7 0.974 0.653 0.341
La8 0.992 0.165 0.334
Pm1 0.500 0.001 0.000

A plane-wave DFT calculation with PBE was carried out for a relaxed structure of Ac15LaPm4.

Output
VASP energy = -85.0 eV/cell
volume = 42.5 Å³/atom
energy of formation = 0.027 eV/atom
size of the total moment = 0.00 Bohr magnetons per cell

a = 5.546 Å, b = 5.546 Å, c = 27.611 Å
α = 90.00°, β = 90.00°, γ = 90.00°
Atoms (fractional coordinates):
Ac1 0.000 0.000 0.000
Ac2 0.000 0.000 0.201
Ac3 0.000 0.000 0.400
Ac4 0.000 0.000 0.600
Ac5 0.000 0.000 0.799
Ac6 0.000 0.500 0.101
Ac7 0.000 0.500 0.301
Ac8 0.000 0.500 0.500
Ac9 0.000 0.500 0.699
Ac10 0.000 0.500 0.899
Ac11 0.500 0.000 0.101
Ac12 0.500 0.000 0.301
Ac13 0.500 0.000 0.500
Ac14 0.500 0.000 0.699
Ac15 0.500 0.000 0.899
La1 0.500 0.500 0.000
Pm1 0.500 0.500 0.201
Pm2 0.500 0.500 0.400
Pm3 0.500 0.500 0.600
Pm4 0.500 0.500 0.799

A plane-wave DFT calculation with PBE was carried out for a relaxed structure of Ac3La2Pm2.

Output
VASP energy = -61.6 eV/cell
volume = 39.9 Å³/atom
energy of formation = 0.127 eV/atom
size of the total moment = 0.00 Bohr magnetons per cell
E above lowest polymorph = 94.7 meV per atom

a = 18.695 Å, b = 3.737 Å, c = 9.027 Å
α = 90.00°, β = 117.61°, γ = 90.00°
Atoms (fractional coordinates):
Ac1 0.000 0.000 0.000
Ac2 0.217 0.000 0.294
Ac3 0.283 0.500 0.706
Ac4 0.500 0.500 0.000
Ac5 0.717 0.500 0.294
Ac6 0.783 0.000 0.706
La1 0.062 0.500 0.411
La2 0.438 0.000 0.589
La3 0.562 0.000 0.411
La4 0.938 0.500 0.589
Pm1 0.146 0.000 0.830
Pm2 0.354 0.500 0.170
Pm3 0.646 0.500 0.830
Pm4 0.854 0.000 0.170

A plane-wave DFT calculation with PBE was carried out for a relaxed structure of AcLa3Pm6.

Output
VASP energy = -92.4 eV/cell
volume = 36.4 Å³/atom
energy of formation = 0.121 eV/atom
size of the total moment = 0.00 Bohr magnetons per cell
E above lowest polymorph = 0.0 meV per atom

a = 9.307 Å, b = 9.307 Å, c = 9.316 Å
α = 90.00°, β = 90.00°, γ = 115.58°
Atoms (fractional coordinates):
Ac1 0.215 0.785 0.500
Ac2 0.785 0.215 0.000
La1 0.044 0.956 0.244
La2 0.201 0.336 0.073
La3 0.336 0.201 0.573
La4 0.664 0.799 0.073
La5 0.799 0.664 0.573
La6 0.956 0.044 0.744
Pm1 0.031 0.324 0.406
Pm2 0.178 0.472 0.738
Pm3 0.276 0.724 0.130
Pm4 0.324 0.031 0.906
Pm5 0.444 0.556 0.388
Pm6 0.472 0.178 0.238
Pm7 0.528 0.822 0.738
Pm8 0.556 0.444 0.888
Pm9 0.676 0.969 0.406
Pm10 0.724 0.276 0.630
Pm11 0.822 0.528 0.238
Pm12 0.969 0.676 0.906

A plane-wave DFT calculation with PBE was carried out for a relaxed structure of AcLaPm4.

Output
VASP energy = -53.3 eV/cell
volume = 36.8 Å³/atom
energy of formation = 0.229 eV/atom
size of the total moment = 0.00 Bohr magnetons per cell
E above lowest polymorph = 200.7 meV per atom

a = 7.206 Å, b = 7.206 Å, c = 10.021 Å
α = 90.00°, β = 90.00°, γ = 121.95°
Atoms (fractional coordinates):
Ac1 0.188 0.812 0.750
Ac2 0.812 0.188 0.250
La1 0.000 0.000 0.000
La2 0.000 0.000 0.500
Pm1 0.197 0.355 0.750
Pm2 0.331 0.669 0.075
Pm3 0.331 0.669 0.425
Pm4 0.355 0.197 0.250
Pm5 0.645 0.803 0.750
Pm6 0.669 0.331 0.575
Pm7 0.669 0.331 0.925
Pm8 0.803 0.645 0.250

A plane-wave DFT calculation with PBE was carried out for a relaxed structure of Ac7La2Pm2.

Output
VASP energy = -45.7 eV/cell
volume = 42.3 Å³/atom
energy of formation = 0.218 eV/atom
size of the total moment = 0.00 Bohr magnetons per cell
E above lowest polymorph = 103.5 meV per atom

a = 8.458 Å, b = 8.458 Å, c = 7.285 Å
α = 105.80°, β = 105.80°, γ = 99.81°
Atoms (fractional coordinates):
Ac1 0.000 0.000 0.000
Ac2 0.073 0.572 0.801
Ac3 0.336 0.336 0.519
Ac4 0.428 0.927 0.199
Ac5 0.572 0.073 0.801
Ac6 0.664 0.664 0.481
Ac7 0.927 0.428 0.199
La1 0.131 0.869 0.500
La2 0.869 0.131 0.500
Pm1 0.338 0.338 0.017
Pm2 0.662 0.662 0.983